(1)
# PmV2OsO8, relaxed, DFT PBE with a Hubbard U
# E in eV per atom: -7.8074
# V in Å³ per cell: 289.2
data_PmV2OsO8
_chemical_formula_sum 'Pm2 V4 Os2 O16'
_space_group_name_H-M_alt 'C m m m'
_space_group_IT_number 65
_space_group_name_Hall '-C 2 2'
_cell_length_a 6.605
_cell_length_b 6.874
_cell_length_c 6.369
_cell_angle_alpha 90.00
_cell_angle_beta 90.00
_cell_angle_gamma 90.00
loop_
_atom_site_label
_atom_site_type_symbol
_atom_site_fract_x
_atom_site_fract_y
_atom_site_fract_z
Pm1 Pm 0.000 0.000 0.000
V1 V 0.000 0.500 0.244
Os1 Os 0.000 0.000 0.500
O1 O 0.000 0.278 0.500
O2 O 0.000 0.328 0.000
O3 O 0.222 0.000 0.288

***

(2)
# Pm2VOsO8, relaxed, DFT PBE with a Hubbard U
# E in eV per atom: -7.8179
# V in Å³ per cell: 310.5
data_Pm2VOsO8
_chemical_formula_sum 'Pm4 V2 Os2 O16'
_space_group_name_H-M_alt 'C 1 2/m 1'
_space_group_IT_number 12
_cell_length_a 6.575
_cell_length_b 6.921
_cell_length_c 6.823
_cell_angle_alpha 90.00
_cell_angle_beta 90.24
_cell_angle_gamma 90.00
loop_
_space_group_symop_operation_xyz
'x,y,z'
'-x,-y,-z'
'-x,y,-z'
'x,-y,z'
'x+1/2,y+1/2,z'
'-x+1/2,-y+1/2,-z'
'-x+1/2,y+1/2,-z'
'x+1/2,-y+1/2,z'
loop_
_atom_site_label
_atom_site_type_symbol
_atom_site_fract_x
_atom_site_fract_y
_atom_site_fract_z
Pm1 Pm 0.070 0.000 0.244
V1 V 0.000 0.500 0.000
Os1 Os 0.000 0.500 0.500
O1 O 0.046 0.327 0.741
O2 O 0.226 0.000 0.953
O3 O 0.230 0.000 0.549